# 1
# Pm3HgGe2

A relaxed structure of Pm3HgGe2 (PBE-GGA, Alexandria via LeMat-Bulk).

## Properties
Space-group type: R-3c (167)
ΔH_f (0 K) in meV per atom: -583.9
E above lowest polymorph in kJ per mole of atoms: 0.00
Mass density in g cm⁻³: 7.5

abc: 8.3845 8.3845 8.3845
angles: 52.62 52.62 52.62
Closest atoms and distances in Å follow each position.
Positions (direct):
1 Hg 0.0000 0.0000 0.0000  6 Pm 3.16, 2 Ge 3.41
2 Hg 0.5000 0.5000 0.5000  6 Pm 3.16, 2 Ge 3.41
3 Ge 0.6578 0.6578 0.6578  6 Pm 3.01-3.05
4 Ge 0.3422 0.3422 0.3422  6 Pm 3.01-3.05
5 Ge 0.1578 0.1578 0.1578  6 Pm 3.01-3.05
6 Ge 0.8422 0.8422 0.8422  6 Pm 3.01-3.05
7 Pm 0.4465 0.0535 0.7500  4 Ge 3.01-3.05, 2 Hg 3.16
8 Pm 0.5535 0.9465 0.2500  4 Ge 3.01-3.05, 2 Hg 3.16
9 Pm 0.0535 0.7500 0.4465  4 Ge 3.01-3.05, 2 Hg 3.16
10 Pm 0.9465 0.2500 0.5535  4 Ge 3.01-3.05, 2 Hg 3.16
11 Pm 0.7500 0.4465 0.0535  4 Ge 3.01-3.05, 2 Hg 3.16
12 Pm 0.2500 0.5535 0.9465  4 Ge 3.01-3.05, 2 Hg 3.16


# 2
# LaRhBr4

A relaxed structure of LaRhBr4 (PBE-GGA, Alexandria via LeMat-Bulk).

## Properties
Space-group type: F-43m (216)
Mass density in g cm⁻³: 5.6
Energy relative to the elements, uncorrected in kJ/mol of atoms: 20

abc: 6.1578 6.1578 6.1578
angles: 60.00 60.00 60.00
Closest atoms and distances in Å follow each position.
Positions (direct):
1 La 0.7500 0.7500 0.7500  12 Br 3.61, 4 Rh 3.77
2 Br 0.3748 0.3748 0.8757  6 Br 3.07-3.08
3 Br 0.3748 0.8757 0.3748  6 Br 3.07-3.08
4 Br 0.3748 0.3748 0.3748  6 Br 3.07-3.08
5 Br 0.8757 0.3748 0.3748  6 Br 3.07-3.08
6 Rh 0.0000 0.0000 0.0000  12 Br 3.61, 4 La 3.77


# 3
# PmErRhBr

A relaxed structure of PmErRhBr (PBE-GGA, Alexandria via LeMat-Bulk).

## Properties
Space-group type: R3m (160)
Mass density in g cm⁻³: 7.6
Energy relative to the elements, uncorrected in kJ/mol of atoms: -103

abc: 4.0158 4.0153 8.1122
angles: 89.99 104.33 120.01
Closest atoms and distances in Å follow each position.
Positions (direct):
1 Er 0.0976 0.9465 0.0598  3 Rh 2.72
2 Br 0.9635 0.3803 0.3581  3 Er 3.28, 3 Pm 3.38
3 Pm 0.5078 0.1518 0.6750  3 Rh 2.80
4 Rh 0.3089 0.5522 0.8767  3 Er 2.72, 3 Pm 2.80


# 4
# Na3AgRh3O8

A relaxed structure of Na3AgRh3O8 (PBE-GGA, Alexandria via LeMat-Bulk).

## Properties
Space-group type: R-3m (166)
Mass density in g cm⁻³: 5.5
Energy relative to the elements, uncorrected in kJ/mol of atoms: -86

abc: 6.3428 6.3427 6.4214
angles: 119.60 90.00 120.00
Closest atoms and distances in Å follow each position.
Positions (direct):
1 Rh 0.5000 0.0000 0.5000  6 O 2.05-2.11
2 Rh 0.0000 0.5000 0.5000  6 O 2.05-2.11
3 Rh 0.5000 0.5000 0.5000  6 O 2.05-2.11
4 O 0.2466 0.9520 0.6986  2 Rh 2.05, 1 Ag 2.24
5 O 0.7534 0.0480 0.3014  2 Rh 2.05, 1 Ag 2.24
6 O 0.2946 0.0480 0.3014  2 Rh 2.05, 1 Ag 2.24
7 O 0.2466 0.4931 0.6985  2 Rh 2.05, 1 Ag 2.24
8 O 0.7534 0.5069 0.3015  2 Rh 2.05, 1 Ag 2.24
9 O 0.7334 0.4668 0.7002  3 Rh 2.11
10 O 0.2666 0.5332 0.2998  3 Rh 2.11
11 O 0.7054 0.9520 0.6986  2 Rh 2.05, 1 Ag 2.24
12 Ag 0.0000 0.0000 0.5000  6 O 2.24
13 Na 0.0000 0.5000 0.0000  6 O 2.42-2.49
14 Na 0.0000 0.0000 0.0000  6 O 2.42-2.49
15 Na 0.5000 0.5000 0.0000  6 O 2.42-2.49


# 5
# Li12HgRh2

A relaxed structure of Li12HgRh2 (PBE-GGA, Alexandria via LeMat-Bulk).

## Properties
Space-group type: Cmme (67)
ΔH_f (0 K) in meV per atom: -63.7
Mass density in g cm⁻³: 3.1

abc: 5.1370 5.1370 22.5699
angles: 90.00 90.00 119.70
Closest atoms and distances in Å follow each position.
Positions (direct):
1 Hg 0.5000 0.0000 0.9541  10 Li 2.73-3.04
2 Hg 0.0000 0.5000 0.0459  10 Li 2.73-3.04
3 Li 0.5000 0.5000 0.6887  5 Li 2.35-2.58
4 Li 0.2580 0.7580 0.8463  4 Li 2.50-2.66, 2 Rh 2.71-2.72, 1 Hg 2.73
5 Li 0.2420 0.7420 0.1537  4 Li 2.50-2.66, 2 Rh 2.71-2.72, 1 Hg 2.73
6 Li 0.7420 0.2420 0.8463  4 Li 2.50-2.66, 2 Rh 2.71-2.72, 1 Hg 2.73
7 Li 0.3301 0.1699 0.5502  5 Li 2.68-2.95
8 Li 0.0000 0.0000 0.6887  5 Li 2.35-2.58
9 Li 0.0000 0.0000 0.3113  5 Li 2.35-2.58
10 Li 0.0000 0.0000 0.7929  5 Li 2.35-2.58
11 Li 0.5000 0.5000 0.3113  5 Li 2.35-2.58
12 Li 0.7622 0.2622 0.6356  4 Li 2.45-2.71, 2 Rh 2.68-2.71
13 Li 0.7378 0.2378 0.3644  4 Li 2.45-2.71, 2 Rh 2.68-2.71
14 Li 0.7580 0.2580 0.1537  4 Li 2.50-2.66, 2 Rh 2.71-2.72, 1 Hg 2.73
15 Li 0.1699 0.3301 0.4498  5 Li 2.68-2.95
16 Li 0.8220 0.6780 0.9395  4 Hg 2.87-3.04, 6 Li 2.88-3.16
17 Li 0.6780 0.8220 0.0605  4 Hg 2.87-3.04, 6 Li 2.88-3.16
18 Li 0.2378 0.7378 0.6356  4 Li 2.45-2.71, 2 Rh 2.68-2.71
19 Li 0.5000 0.5000 0.7929  5 Li 2.35-2.58
20 Li 0.2622 0.7622 0.3644  4 Li 2.45-2.71, 2 Rh 2.68-2.71
21 Li 0.0000 0.0000 0.2071  5 Li 2.35-2.58
22 Li 0.6699 0.8301 0.5502  5 Li 2.68-2.95
23 Li 0.8301 0.6699 0.4498  5 Li 2.68-2.95
24 Li 0.5000 0.5000 0.2071  5 Li 2.35-2.58
25 Li 0.3220 0.1780 0.0605  4 Hg 2.87-3.04, 6 Li 2.88-3.16
26 Li 0.1780 0.3220 0.9395  4 Hg 2.87-3.04, 6 Li 2.88-3.16
27 Rh 0.5000 0.0000 0.7398  2 Rh 2.58, 12 Li 2.71-2.83
28 Rh 0.0000 0.5000 0.2602  2 Rh 2.58, 12 Li 2.71-2.83
29 Rh 0.5000 0.0000 0.2588  2 Rh 2.58, 12 Li 2.68-2.83
30 Rh 0.0000 0.5000 0.7412  2 Rh 2.58, 12 Li 2.68-2.83


# 6
# K3Te5O12

A relaxed structure of K3Te5O12 (PBE-GGA, Alexandria via LeMat-Bulk).

## Properties
Space-group type: Ia-3d (230)
Mass density in g cm⁻³: 4.4
Energy relative to the elements, uncorrected in kJ/mol of atoms: -104

abc: 12.2541 12.2541 12.2541
angles: 109.47 109.47 109.47
Closest atoms and distances in Å follow each position.
Positions (direct):
1 O 0.5742 0.8919 0.3944  2 Te 2.03-2.17
2 O 0.4258 0.3177 0.3202  2 Te 2.03-2.17
3 O 0.3202 0.5025 0.3944  2 Te 2.03-2.17
4 O 0.1056 0.1798 0.4975  2 Te 2.03-2.17
5 O 0.3919 0.9975 0.8177  2 Te 2.03-2.17
6 O 0.3202 0.8177 0.4258  2 Te 2.03-2.17
7 O 0.6056 0.9975 0.6798  2 Te 2.03-2.17
8 O 0.1823 0.6798 0.0742  2 Te 2.03-2.17
9 O 0.5742 0.6823 0.6798  2 Te 2.03-2.17
10 O 0.5025 0.3202 0.8944  2 Te 2.03-2.17
11 O 0.3944 0.3919 0.5742  2 Te 2.03-2.17
12 O 0.1081 0.6823 0.5025  2 Te 2.03-2.17
13 O 0.8944 0.0742 0.8919  2 Te 2.03-2.17
14 O 0.3177 0.4258 0.8202  2 Te 2.03-2.17
15 O 0.6798 0.4975 0.6056  2 Te 2.03-2.17
16 O 0.6056 0.6081 0.4258  2 Te 2.03-2.17
17 O 0.1798 0.0742 0.6823  2 Te 2.03-2.17
18 O 0.4975 0.6798 0.1056  2 Te 2.03-2.17
19 O 0.1081 0.4258 0.1056  2 Te 2.03-2.17
20 O 0.3944 0.0025 0.3202  2 Te 2.03-2.17
21 O 0.4258 0.1081 0.6056  2 Te 2.03-2.17
22 O 0.8202 0.8944 0.0025  2 Te 2.03-2.17
23 O 0.5025 0.1823 0.1081  2 Te 2.03-2.17
24 O 0.9975 0.6056 0.1798  2 Te 2.03-2.17
25 O 0.9258 0.1056 0.6081  2 Te 2.03-2.17
26 O 0.8177 0.3202 0.9258  2 Te 2.03-2.17
27 O 0.3919 0.3944 0.0742  2 Te 2.03-2.17
28 O 0.9258 0.8202 0.8177  2 Te 2.03-2.17
29 O 0.6798 0.1823 0.5742  2 Te 2.03-2.17
30 O 0.9975 0.3919 0.3177  2 Te 2.03-2.17
31 O 0.0025 0.6081 0.6823  2 Te 2.03-2.17
32 O 0.6081 0.0025 0.1823  2 Te 2.03-2.17
33 O 0.1798 0.1056 0.9975  2 Te 2.03-2.17
34 O 0.8944 0.8202 0.5025  2 Te 2.03-2.17
35 O 0.8177 0.4975 0.3919  2 Te 2.03-2.17
36 O 0.8919 0.5742 0.8944  2 Te 2.03-2.17
37 O 0.4975 0.8177 0.8919  2 Te 2.03-2.17
38 O 0.1823 0.5025 0.6081  2 Te 2.03-2.17
39 O 0.0742 0.8944 0.3919  2 Te 2.03-2.17
40 O 0.8202 0.9258 0.3177  2 Te 2.03-2.17
41 O 0.1056 0.9258 0.1081  2 Te 2.03-2.17
42 O 0.0025 0.3944 0.8202  2 Te 2.03-2.17
43 O 0.6823 0.5742 0.1798  2 Te 2.03-2.17
44 O 0.0742 0.1798 0.1823  2 Te 2.03-2.17
45 O 0.6081 0.6056 0.9258  2 Te 2.03-2.17
46 O 0.8919 0.3177 0.4975  2 Te 2.03-2.17
47 O 0.3177 0.8919 0.9975  2 Te 2.03-2.17
48 O 0.6823 0.1081 0.0025  2 Te 2.03-2.17
49 K 0.6250 0.2500 0.3750  8 O 2.78-3.05
50 K 0.8750 0.7500 0.1250  8 O 2.78-3.05
51 K 0.2500 0.6250 0.8750  8 O 2.78-3.05
52 K 0.2500 0.1250 0.3750  8 O 2.78-3.05
53 K 0.8750 0.1250 0.2500  8 O 2.78-3.05
54 K 0.1250 0.2500 0.8750  8 O 2.78-3.05
55 K 0.7500 0.3750 0.1250  8 O 2.78-3.05
56 K 0.3750 0.6250 0.2500  8 O 2.78-3.05
57 K 0.6250 0.3750 0.7500  8 O 2.78-3.05
58 K 0.7500 0.8750 0.6250  8 O 2.78-3.05
59 K 0.1250 0.8750 0.7500  8 O 2.78-3.05
60 K 0.3750 0.7500 0.6250  8 O 2.78-3.05
61 Te 0.7500 0.6250 0.3750  4 O 2.03
62 Te 0.0000 0.0000 0.5000  6 O 2.17
63 Te 0.1250 0.3750 0.2500  4 O 2.03
64 Te 0.2500 0.8750 0.1250  4 O 2.03
65 Te 0.7500 0.1250 0.8750  4 O 2.03
66 Te 0.5000 0.0000 0.0000  6 O 2.17
67 Te 0.3750 0.2500 0.1250  4 O 2.03
68 Te 0.0000 0.5000 0.5000  6 O 2.17
69 Te 0.2500 0.3750 0.6250  4 O 2.03
70 Te 0.8750 0.6250 0.7500  4 O 2.03
71 Te 0.0000 0.0000 0.0000  6 O 2.17
72 Te 0.3750 0.1250 0.7500  4 O 2.03
73 Te 0.5000 0.5000 0.0000  6 O 2.17
74 Te 0.6250 0.8750 0.2500  4 O 2.03
75 Te 0.5000 0.0000 0.5000  6 O 2.17
76 Te 0.0000 0.5000 0.0000  6 O 2.17
77 Te 0.6250 0.7500 0.8750  4 O 2.03
78 Te 0.5000 0.5000 0.5000  6 O 2.17
79 Te 0.8750 0.2500 0.6250  4 O 2.03
80 Te 0.1250 0.7500 0.3750  4 O 2.03


# 7
# BaBe2BI

A relaxed structure of BaBe2BI (PBE-GGA, Alexandria via LeMat-Bulk).

## Properties
Space-group type: P4/mmm (123)
Mass density in g cm⁻³: 2.4
Energy relative to the elements, uncorrected in kJ/mol of atoms: 198

abc: 6.2698 6.2698 5.2642
angles: 90.00 90.00 90.00
Closest atoms and distances in Å follow each position.
Positions (direct):
1 Be 0.5000 0.0000 0.0000  2 Ba 3.13
2 Be 0.0000 0.5000 0.0000  2 Ba 3.13
3 B 0.0000 0.0000 0.5000  2 Ba 2.63
4 Ba 0.0000 0.0000 0.0000  2 B 2.63
5 I 0.5000 0.5000 0.5000  8 Be 4.09, 4 B 4.43


# 8
# Mn2NbRe

A relaxed structure of Mn2NbRe (PBE-GGA, Alexandria via LeMat-Bulk).

## Properties
Space-group type: P4/mmm (123)
ΔH_f (0 K) in meV per atom: 54.9
E above lowest polymorph in kJ per mole of atoms: 0.00
Mass density in g cm⁻³: 11.6

abc: 3.0002 4.3045 4.3045
angles: 90.00 90.00 90.00
Closest atoms and distances in Å follow each position.
Positions (direct):
1 Mn 0.0000 0.0000 0.5000  4 Nb 2.62, 4 Re 2.62
2 Mn 0.0000 0.5000 0.0000  4 Nb 2.62, 4 Re 2.62
3 Re 0.5000 0.0000 0.0000  8 Mn 2.62
4 Nb 0.5000 0.5000 0.5000  8 Mn 2.62